1.
Material: CdCo2Cu
Method: DFT, GGA-PBE
State: relaxed

Structure (POSCAR):
```
CdCo2Cu
1.0
-2.560 0.121 1.518
-0.908 -2.506 -1.330
2.509 -3.293 4.494
Cd Co Cu
1 2 1
direct
0.500 0.500 0.750
0.000 0.000 0.046
0.000 0.000 0.454
0.500 0.500 0.250
```

For the calculated formation energy, the calculation gives 0.326 eV per atom. The theoretical density is 9.00 g cm⁻³.



2.
Material: CdCo2Cu2
Method: DFT, GGA-PBE
State: relaxed

Structure (POSCAR):
```
CdCo2Cu2
1.0
3.589 0.000 0.000
0.000 3.589 0.000
1.795 1.795 5.550
Co Cu Cd
2 2 1
direct
0.400 0.400 0.200
0.600 0.600 0.800
0.750 0.250 0.500
0.250 0.750 0.500
0.000 0.000 0.000
```

For the calculated formation energy, the calculation gives 0.432 eV per atom. The theoretical density is 8.30 g cm⁻³. The calculation puts the energy above the most stable polymorph in this dataset at 124 meV per atom.